[1]
# BaAsPtBr2 | Alexandria | PBE | relaxed
data_BaAsPtBr2
_space_group_name_H-M_alt 'P 4/m m m'
_space_group_IT_number 123
_space_group_name_Hall '-P 4 2'
_cell_length_a 5.421
_cell_length_b 5.421
_cell_length_c 4.887
_cell_angle_alpha 90.00
_cell_angle_beta 90.00
_cell_angle_gamma 90.00
loop_
_atom_site_label
_atom_site_fract_x
_atom_site_fract_y
_atom_site_fract_z
Ba1 0.000 0.000 0.000
As1 0.500 0.500 0.000
Pt1 0.500 0.500 0.500
Br1 0.000 0.500 0.500
# Fermi-level density of states in states/eV/atom: 0.550
# Excess energy over the best structure of this formula in the dataset in eV per atom: 0.042
# Volume in Å³/cell: 143.6



[2]
# ErTmAl4 | Alexandria | PBE | relaxed
data_ErTmAl4
_space_group_name_H-M_alt 'F -4 3 m'
_space_group_IT_number 216
_space_group_name_Hall 'F -4 2 3'
_cell_length_a 7.805
_cell_length_b 7.805
_cell_length_c 7.805
_cell_angle_alpha 90.00
_cell_angle_beta 90.00
_cell_angle_gamma 90.00
loop_
_atom_site_label
_atom_site_fract_x
_atom_site_fract_y
_atom_site_fract_z
Er1 0.000 0.000 0.000
Tm1 0.250 0.250 0.750
Al1 0.125 0.125 0.375
# Fermi-level density of states in states/eV/atom: 0.880
# Electronic total energy in eV/cell: -108.1
# Volume in Å³/cell: 475.4



[3]
# BeCo2Br | Alexandria | PBE | relaxed
data_BeCo2Br
_space_group_name_H-M_alt 'C 1 m 1'
_space_group_IT_number 8
_cell_length_a 6.410
_cell_length_b 3.600
_cell_length_c 5.716
_cell_angle_alpha 90.00
_cell_angle_beta 105.46
_cell_angle_gamma 90.00
loop_
_space_group_symop_operation_xyz
'x,y,z'
'x,-y,z'
'x+1/2,y+1/2,z'
'x+1/2,-y+1/2,z'
loop_
_atom_site_label
_atom_site_fract_x
_atom_site_fract_y
_atom_site_fract_z
Be1 0.000 0.000 0.000
Co1 0.193 0.500 0.123
Co2 0.307 0.000 0.893
Br1 0.212 0.000 0.450
# Fermi-level density of states in states/eV/atom: 1.371
# Excess energy over the best structure of this formula in the dataset in eV per atom: 0.000
# Volume in Å³/cell: 127.1



[4]
# NaTb2TeO6 | Alexandria | PBE | relaxed
data_NaTb2TeO6
_space_group_name_H-M_alt 'R 3'
_space_group_IT_number 146
_space_group_name_Hall 'R 3'
_cell_length_a 5.7990
_cell_length_b 5.7990
_cell_length_c 15.1959
_cell_angle_alpha 90.00
_cell_angle_beta 90.00
_cell_angle_gamma 120.00
loop_
_atom_site_label
_atom_site_fract_x
_atom_site_fract_y
_atom_site_fract_z
Na1 0.0000 0.0000 0.0000
Tb1 0.0000 0.0000 0.2694
Tb2 0.0000 0.0000 0.7794
Te1 0.0000 0.0000 0.4771
O1 0.0149 0.7395 0.3894
O2 0.0263 0.3393 0.5428
# Fermi-level density of states in states/eV/atom: 0.267
# Electronic total energy in eV/cell: -201.1
# Volume in Å³/cell: 442.5



[5]
# Na2LaCoB | Alexandria | PBE | relaxed
data_Na2LaCoB
_space_group_name_H-M_alt 'P 4/m m m'
_space_group_IT_number 123
_space_group_name_Hall '-P 4 2'
_cell_length_a 6.262
_cell_length_b 6.262
_cell_length_c 4.373
_cell_angle_alpha 90.00
_cell_angle_beta 90.00
_cell_angle_gamma 90.00
loop_
_atom_site_label
_atom_site_fract_x
_atom_site_fract_y
_atom_site_fract_z
Na1 0.000 0.500 0.000
La1 0.000 0.000 0.000
Co1 0.000 0.000 0.500
B1 0.500 0.500 0.500
# Fermi-level density of states in states/eV/atom: 0.801
# Electronic total energy in eV/cell: -12.7
# Volume in Å³/cell: 171.5



[6]
# KW2Br | Alexandria | PBE | relaxed
data_KW2Br
_space_group_name_H-M_alt 'C 1 2/m 1'
_space_group_IT_number 12
_cell_length_a 13.405
_cell_length_b 3.142
_cell_length_c 5.328
_cell_angle_alpha 90.00
_cell_angle_beta 112.07
_cell_angle_gamma 90.00
loop_
_space_group_symop_operation_xyz
'x,y,z'
'-x,-y,-z'
'-x,y,-z'
'x,-y,z'
'x+1/2,y+1/2,z'
'-x+1/2,-y+1/2,-z'
'-x+1/2,y+1/2,-z'
'x+1/2,-y+1/2,z'
loop_
_atom_site_label
_atom_site_fract_x
_atom_site_fract_y
_atom_site_fract_z
K1 0.000 0.000 0.000
W1 0.213 0.000 0.611
Br1 0.000 0.500 0.500
# Fermi-level density of states in states/eV/atom: 0.686
# Excess energy over the best structure of this formula in the dataset in eV per atom: 0.546
# Volume in Å³/cell: 208.0



[7]
# BaCuIr2Os | Alexandria | PBE | relaxed
data_BaCuIr2Os
_space_group_name_H-M_alt 'P 4/m m m'
_space_group_IT_number 123
_space_group_name_Hall '-P 4 2'
_cell_length_a 5.103
_cell_length_b 5.103
_cell_length_c 5.137
_cell_angle_alpha 90.00
_cell_angle_beta 90.00
_cell_angle_gamma 90.00
loop_
_atom_site_label
_atom_site_fract_x
_atom_site_fract_y
_atom_site_fract_z
Ba1 0.000 0.000 0.000
Cu1 0.500 0.500 0.500
Ir1 0.000 0.500 0.000
Os1 0.000 0.000 0.500
# Fermi-level density of states in states/eV/atom: 1.074
# Electronic total energy in eV/cell: -18.5
# Volume in Å³/cell: 133.8



[8]
# Rb2ReHgCl6 | Alexandria | PBE | relaxed
data_Rb2ReHgCl6
_space_group_name_H-M_alt 'I 4/m m m'
_space_group_IT_number 139
_space_group_name_Hall '-I 4 2'
_cell_length_a 7.884
_cell_length_b 7.884
_cell_length_c 11.164
_cell_angle_alpha 90.00
_cell_angle_beta 90.00
_cell_angle_gamma 90.00
loop_
_atom_site_label
_atom_site_fract_x
_atom_site_fract_y
_atom_site_fract_z
Rb1 0.000 0.500 0.250
Re1 0.000 0.000 0.000
Hg1 0.000 0.000 0.500
Cl1 0.000 0.000 0.213
Cl2 0.214 0.214 0.000
# Electronic total energy in eV/cell: -73.3
# Volume in Å³/cell: 693.8